1.
First-principles (GGA-PBE) data for a geometry-optimized NaPuPd structure, as listed in OQMD.

Structure (POSCAR):
```
NaPuPd
1.0
6.809 0.000 0.000
0.000 6.809 0.000
0.000 0.000 6.809
Na Pu Pd
4 4 4
Direct
0.000 0.000 0.000
0.000 0.500 0.500
0.500 0.000 0.500
0.500 0.500 0.000
0.000 0.000 0.500
0.000 0.500 0.000
0.500 0.000 0.000
0.500 0.500 0.500
0.250 0.250 0.250
0.250 0.750 0.750
0.750 0.250 0.750
0.750 0.750 0.250
```

Calculated values
ΔE to the lowest computed polymorph in eV per formula unit: 0.00

2.
First-principles (GGA-PBE) data for a geometry-optimized NaPuPd structure, as listed in OQMD.

Structure (POSCAR):
```
NaPuPd
1.0
6.837 0.000 0.000
0.000 6.837 0.000
0.000 0.000 6.837
Na Pu Pd
4 4 4
Direct
0.000 0.000 0.000
0.000 0.500 0.500
0.500 0.000 0.500
0.500 0.500 0.000
0.250 0.250 0.250
0.250 0.750 0.750
0.750 0.250 0.750
0.750 0.750 0.250
0.000 0.000 0.500
0.000 0.500 0.000
0.500 0.000 0.000
0.500 0.500 0.500
```

Calculated values
ΔE to the lowest computed polymorph in eV per formula unit: 1.13

3.
First-principles (GGA-PBE) data for a geometry-optimized RbNaPd structure, as listed in OQMD.

Structure (POSCAR):
```
RbNaPd
1.0
7.519 0.000 0.000
0.000 7.519 0.000
0.000 0.000 7.519
Rb Na Pd
4 4 4
Direct
0.000 0.000 0.000
0.000 0.500 0.500
0.500 0.000 0.500
0.500 0.500 0.000
0.000 0.000 0.500
0.000 0.500 0.000
0.500 0.000 0.000
0.500 0.500 0.500
0.250 0.250 0.750
0.250 0.750 0.250
0.750 0.250 0.250
0.750 0.750 0.750
```

Calculated values
Raw total energy in eV per atom: -2.35

4.
First-principles (GGA-PBE) data for a geometry-optimized RbNaPd structure, as listed in OQMD.

Structure (POSCAR):
```
RbNaPd
1.0
7.506 0.000 0.000
0.000 7.506 0.000
0.000 0.000 7.506
Rb Na Pd
4 4 4
Direct
0.000 0.000 0.000
0.000 0.500 0.500
0.500 0.000 0.500
0.500 0.500 0.000
0.250 0.250 0.750
0.250 0.750 0.250
0.750 0.250 0.250
0.750 0.750 0.750
0.250 0.250 0.250
0.250 0.750 0.750
0.750 0.250 0.750
0.750 0.750 0.250
```

Calculated values
Raw total energy in eV per atom: -2.05

5.
First-principles (GGA-PBE) data for a geometry-optimized RbNaPdS3 structure, as listed in OQMD.

Structure (POSCAR):
```
RbNaPdS3
1.0
1.894 -7.505 0.000
1.894 7.505 0.000
0.000 0.000 10.172
Rb Na Pd S
2 2 2 6
Direct
0.236 0.764 0.750
0.764 0.236 0.250
0.053 0.947 0.250
0.947 0.053 0.750
0.500 0.500 0.000
0.500 0.500 0.500
0.104 0.896 0.008
0.104 0.896 0.492
0.439 0.561 0.250
0.561 0.439 0.750
0.896 0.104 0.508
0.896 0.104 0.992
```

Calculated values
Raw total energy in eV per atom: -3.76

6.
First-principles (GGA-PBE) data for a geometry-optimized RbNaPdSe3 structure, as listed in OQMD.

Structure (POSCAR):
```
RbNaPdSe3
1.0
1.976 -7.645 0.000
1.976 7.645 0.000
0.000 0.000 10.428
Rb Na Pd Se
2 2 2 6
Direct
0.245 0.755 0.750
0.755 0.245 0.250
0.457 0.543 0.250
0.543 0.457 0.750
0.000 0.000 0.000
0.000 0.000 0.500
0.074 0.926 0.250
0.391 0.609 0.007
0.391 0.609 0.493
0.609 0.391 0.507
0.609 0.391 0.993
0.926 0.074 0.750
```

Calculated values
Raw total energy in eV per atom: -3.51

7.
First-principles (GGA-PBE) data for a geometry-optimized RbNaPdW structure, as listed in OQMD.

Structure (POSCAR):
```
RbNaPdW
1.0
7.527 0.000 0.000
0.000 7.527 0.000
0.000 0.000 7.527
Rb Na Pd W
4 4 4 4
Direct
0.000 0.000 0.000
0.000 0.500 0.500
0.500 0.000 0.500
0.500 0.500 0.000
0.000 0.000 0.500
0.000 0.500 0.000
0.500 0.000 0.000
0.500 0.500 0.500
0.250 0.250 0.750
0.250 0.750 0.250
0.750 0.250 0.250
0.750 0.750 0.750
0.250 0.250 0.250
0.250 0.750 0.750
0.750 0.250 0.750
0.750 0.750 0.250
```

Calculated values
ΔE to the lowest computed polymorph in eV per formula unit: 1.05

8.
First-principles (GGA-PBE) data for a geometry-optimized RbNaPdW structure, as listed in OQMD.

Structure (POSCAR):
```
RbNaPdW
1.0
7.233 0.000 0.000
0.000 7.233 0.000
0.000 0.000 7.233
Rb Na Pd W
4 4 4 4
Direct
0.000 0.000 0.000
0.000 0.500 0.500
0.500 0.000 0.500
0.500 0.500 0.000
0.250 0.250 0.750
0.250 0.750 0.250
0.750 0.250 0.250
0.750 0.750 0.750
0.000 0.000 0.500
0.000 0.500 0.000
0.500 0.000 0.000
0.500 0.500 0.500
0.250 0.250 0.250
0.250 0.750 0.750
0.750 0.250 0.750
0.750 0.750 0.250
```

Calculated values
ΔE to the lowest computed polymorph in eV per formula unit: 0.13

9.
First-principles (GGA-PBE) data for a geometry-optimized RbNaPdW structure, as listed in OQMD.

Structure (POSCAR):
```
RbNaPdW
1.0
7.305 0.000 0.000
0.000 7.305 0.000
0.000 0.000 7.305
Rb Na Pd W
4 4 4 4
Direct
0.000 0.000 0.000
0.000 0.500 0.500
0.500 0.000 0.500
0.500 0.500 0.000
0.250 0.250 0.750
0.250 0.750 0.250
0.750 0.250 0.250
0.750 0.750 0.750
0.250 0.250 0.250
0.250 0.750 0.750
0.750 0.250 0.750
0.750 0.750 0.250
0.000 0.000 0.500
0.000 0.500 0.000
0.500 0.000 0.000
0.500 0.500 0.500
```

Calculated values
ΔE to the lowest computed polymorph in eV per formula unit: 0.00

10.
First-principles (GGA-PBE) data for a geometry-optimized Na3Re2Pd structure, as listed in OQMD.

Structure (POSCAR):
```
Na3Re2Pd
1.0
4.752 0.000 0.000
-2.376 4.115 0.000
0.000 0.000 5.361
Na Re Pd
3 2 1
Direct
0.000 0.500 0.000
0.500 0.000 0.000
0.500 0.500 0.000
0.333 0.667 0.500
0.667 0.333 0.500
0.000 0.000 0.500
```

Calculated values
Raw total energy in eV per atom: -4.67

11.
First-principles (GGA-PBE) data for a geometry-optimized NaPd3S5 structure, as listed in OQMD.

Structure (POSCAR):
```
NaPd3S5
1.0
6.000 0.000 0.000
-3.000 5.196 0.000
0.000 0.000 6.385
Na Pd S
1 3 5
Direct
0.000 0.000 0.000
0.000 0.500 0.500
0.500 0.000 0.500
0.500 0.500 0.500
0.000 0.000 0.500
0.333 0.667 0.249
0.333 0.667 0.751
0.667 0.333 0.249
0.667 0.333 0.751
```

Calculated values
Raw total energy in eV per atom: -4.37

12.
First-principles (GGA-PBE) data for a geometry-optimized Na2Pd2S3 structure, as listed in OQMD.

Structure (POSCAR):
```
Na2Pd2S3
1.0
-3.930 3.930 3.930
3.930 -3.930 3.930
3.930 3.930 -3.930
Na Pd S
4 4 6
Direct
0.000 0.330 0.500
0.170 0.170 0.170
0.330 0.500 0.000
0.500 0.000 0.330
0.000 0.820 0.500
0.500 0.000 0.820
0.680 0.680 0.680
0.820 0.500 0.000
0.103 0.750 0.853
0.250 0.647 0.397
0.397 0.250 0.647
0.647 0.397 0.250
0.750 0.853 0.103
0.853 0.103 0.750
```

Calculated values
ΔE to the lowest computed polymorph in eV per formula unit: 0.00